(1)
ErTm2Al2 after structural relaxation, computed with PBE-GGA.

Lattice parameters (Å, degrees): 5.5271 3.5319 13.2817 90.00 95.89 90.00
Closest atoms and distances in Å follow each position.
Space group P2_1/m (No. 11)
Unique sites:
Er  0.1830  0.2500  0.2368 (multiplicity 2)  2 Al 3.09, 2 Tm 3.46
Tm  0.2408  0.7500  0.4617 (multiplicity 2)  4 Al 3.15-3.20, 4 Tm 3.43, 2 Er 3.46
Tm  0.3452  0.2500  0.8872 (multiplicity 2)  5 Al 2.83-3.01
Al  0.1531  0.7500  0.0449 (multiplicity 2)  2 Al 2.64, 1 Tm 2.83
Al  0.2912  0.2500  0.6590 (multiplicity 2)  5 Tm 3.01-3.20

Energy of formation from the pure elements   -0.67 eV per formula unit
Energy   -4.33 eV per atom
Energy above the most stable polymorph in this dataset   183.7 meV per atom

(2)
Mo4PPb after structural relaxation, computed with PBE-GGA.

Lattice parameters (Å, degrees): 7.5445 7.5445 7.5445 90.00 90.00 90.00
Closest atoms and distances in Å follow each position.
Space group F-43m (No. 216)
Unique sites:
Mo  0.1233  0.1233  0.1233 (multiplicity 16)  6 Mo 2.63-2.70
P  0.2500  0.2500  0.7500 (multiplicity 4)  12 Mo 3.12, 4 Pb 3.27
Pb  0.0000  0.0000  0.5000 (multiplicity 4)  12 Mo 3.13, 4 P 3.27

Energy of formation from the pure elements   3.94 eV per formula unit
Energy   -8.08 eV per atom

(3)
LiFePt2 after structural relaxation, computed with PBE-GGA.

Lattice parameters (Å, degrees): 3.7263 3.7263 8.0760 90.00 90.00 90.00
Closest atoms and distances in Å follow each position.
Space group I-4m2 (No. 119)
Unique sites:
Li  0.0000  0.0000  0.0000 (multiplicity 2)  8 Pt 2.63-2.75, 4 Fe 2.75
Fe  0.0000  0.5000  0.2500 (multiplicity 2)  8 Pt 2.63-2.75, 4 Li 2.75
Pt  0.0000  0.0000  0.5000 (multiplicity 2)  4 Li 2.63, 4 Fe 2.75, 4 Pt 2.75
Pt  0.0000  0.5000  0.7500 (multiplicity 2)  4 Fe 2.63, 4 Li 2.75, 4 Pt 2.75

Energy of formation from the pure elements   -1.19 eV per formula unit
Energy   -5.91 eV per atom

(4)
MnP3 after structural relaxation, computed with PBE-GGA.

Lattice parameters (Å, degrees): 3.5314 4.9402 7.0241 90.00 90.00 90.00
Closest atoms and distances in Å follow each position.
Space group Pmmn (No. 59, origin choice 2)
Unique sites:
Mn  0.2500  0.2500  0.1964 (multiplicity 2)  6 P 2.27-2.37
P  0.2500  0.0296  0.8560 (multiplicity 4)  2 P 2.18-2.39, 2 Mn 2.27
P  0.2500  0.7500  0.5775 (multiplicity 2)  2 Mn 2.37, 2 P 2.39

Energy of formation from the pure elements   0.47 eV per formula unit
Energy   -6.23 eV per atom
Energy above the most stable polymorph in this dataset   277.6 meV per atom

(5)
PuThH6 after structural relaxation, computed with PBE-GGA.

Lattice parameters (Å, degrees): 5.9833 4.5638 5.8543 90.00 98.55 90.00
Closest atoms and distances in Å follow each position.
Space group C2/m (No. 12)
Unique sites:
Pu  0.0000  0.0000  0.0000 (multiplicity 2)  10 H 2.24-2.33
Th  0.0000  0.5000  0.5000 (multiplicity 2)  10 H 2.31-2.47
H  0.1089  0.0000  0.3984 (multiplicity 4)  3 H 1.89-1.99
H  0.2220  0.2387  0.7871 (multiplicity 8)  2 H 1.99-2.18

Energy   -5.61 eV per atom

(6)
Ga5As3Au12 after structural relaxation, computed with PBE-GGA.

Lattice parameters (Å, degrees): 15.2491 15.2491 15.2491 90.00 90.00 90.00
Closest atoms and distances in Å follow each position.
Space group Ia-3d (No. 230)
Unique sites:
Ga  0.0000  0.0000  0.0000 (multiplicity 16)  6 Au 2.60
Ga  0.0000  0.2500  0.3750 (multiplicity 24)  4 Au 2.53
As  0.0000  0.2500  0.1250 (multiplicity 24)  4 Au 2.62
Au  0.0215  0.0812  0.6487 (multiplicity 96)  2 Ga 2.53-2.60, 1 As 2.62

Energy of formation from the pure elements   2.06 eV per formula unit
Energy   -3.32 eV per atom

(7)
HoFe4P2 after structural relaxation, computed with PBE-GGA.

Lattice parameters (Å, degrees): 7.0070 7.0070 3.6213 90.00 90.00 90.00
Closest atoms and distances in Å follow each position.
Space group P4_2/mnm (No. 136)
Unique sites:
Ho  0.0000  0.0000  0.0000 (multiplicity 2)  6 P 2.78-2.83, 8 Fe 3.06
Fe  0.0825  0.3423  0.5000 (multiplicity 8)  3 P 2.29-2.32, 5 Fe 2.49-2.53
P  0.2198  0.7802  0.5000 (multiplicity 4)  6 Fe 2.29-2.32

Energy of formation from the pure elements   -4.86 eV per formula unit
Energy   -7.73 eV per atom

(8)
CrTc2GeN after structural relaxation, computed with PBE-GGA.

Lattice parameters (Å, degrees): 4.0820 4.0820 3.8257 90.00 90.00 90.00
Closest atoms and distances in Å follow each position.
Space group P4/mmm (No. 123)
Unique sites:
Cr  0.0000  0.0000  0.0000 (multiplicity 1)  2 N 1.91
Tc  0.0000  0.5000  0.5000 (multiplicity 2)  2 N 2.04
Ge  0.5000  0.5000  0.0000 (multiplicity 1)  8 Tc 2.80, 4 Cr 2.89
N  0.0000  0.0000  0.5000 (multiplicity 1)  2 Cr 1.91, 4 Tc 2.04

Energy   -8.73 eV per atom
Uncorrected formation energy   -0.071 eV per atom